No. 1
Compound: PmSm2YP4
Source: Alexandria via LeMat-Bulk
Functional: PBE
Structure: optimized geometry

Values from the calculation:
Crystal system   monoclinic
Symmetry   P2/m, No. 10
ΔE_f   -1.581 eV per atom

a b c (Å): 4.0930 7.0835 7.0843
angles (deg): 109.46 90.00 90.00
Fractional coordinates of all 8 atoms:
Pm 0.5000 0.5000 0.0000
Sm 0.5000 0.0000 0.5000
Sm 0.0000 0.5000 0.5000
Y 0.0000 0.0000 0.0000
P 0.5000 0.2460 0.2469
P 0.5000 0.7540 0.7531
P 0.0000 0.2473 0.7508
P 0.0000 0.7527 0.2492

---

No. 2
Compound: AcPrDy14
Source: Alexandria via LeMat-Bulk
Functional: PBE
Structure: optimized geometry

Values from the calculation:
Crystal system   orthorhombic
Symmetry   Amm2, No. 38
ΔE_f   0.025 eV per atom

a b c (Å): 7.2912 7.2912 11.4158
angles (deg): 90.00 90.00 119.81
Fractional coordinates of all 16 atoms:
Ac 0.1649 0.8351 0.0000
Pr 0.6653 0.3347 0.0000
Dy 0.6666 0.3334 0.5000
Dy 0.1667 0.8333 0.5000
Dy 0.1685 0.3341 0.0000
Dy 0.1661 0.3335 0.5000
Dy 0.6659 0.8315 0.0000
Dy 0.6665 0.8339 0.5000
Dy 0.3342 0.1687 0.7433
Dy 0.3342 0.1687 0.2567
Dy 0.8313 0.6658 0.7433
Dy 0.8313 0.6658 0.2567
Dy 0.8342 0.1658 0.7483
Dy 0.8342 0.1658 0.2517
Dy 0.3350 0.6650 0.7454
Dy 0.3350 0.6650 0.2546

---

No. 3
Compound: As2Pb
Source: Alexandria via LeMat-Bulk
Functional: PBE
Structure: optimized geometry

Values from the calculation:
Crystal system   tetragonal
Symmetry   I4_1/amd, No. 141
Polymorph energy (0 for the lowest one)   135.1 meV per atom
ΔE_f   0.187 eV per atom

a b c (Å): 9.2753 9.2753 9.2753
angles (deg): 153.87 153.87 37.28
Fractional coordinates of all 6 atoms:
As 0.5772 0.5772 0.0000
As 0.1728 0.6728 0.5000
As 0.4228 0.4228 0.0000
As 0.3272 0.8272 0.5000
Pb 0.0000 0.0000 0.0000
Pb 0.7500 0.2500 0.5000

---

No. 4
Compound: Hf3PbI
Source: Alexandria via LeMat-Bulk
Functional: PBE
Structure: optimized geometry

Values from the calculation:
Crystal system   cubic
Symmetry   Pm-3m, No. 221
Energy relative to the elements, uncorrected   1.464 eV/atom
Polymorph energy (0 for the lowest one)   297.9 meV per atom

a b c (Å): 5.4224 5.4224 5.4224
angles (deg): 90.00 90.00 90.00
Fractional coordinates of all 5 atoms:
Pb 0.0000 0.0000 0.0000
I 0.5000 0.5000 0.5000
Hf 0.0000 0.5000 0.0000
Hf 0.0000 0.0000 0.5000
Hf 0.5000 0.0000 0.0000

---

No. 5
Compound: Li2SiSnF8
Source: Alexandria via LeMat-Bulk
Functional: PBE
Structure: optimized geometry

Values from the calculation:
Crystal system   triclinic
Symmetry   P-1, No. 2
Energy relative to the elements, uncorrected   -2.832 eV/atom

a b c (Å): 4.7547 4.7578 6.9012
angles (deg): 82.91 82.96 82.16
Fractional coordinates of all 12 atoms:
Li 0.4521 0.4520 0.7276
Li 0.5479 0.5480 0.2724
Si 0.0000 0.0000 0.0000
Sn 0.0000 0.0000 0.5000
F 0.1949 0.8040 0.1804
F 0.7621 0.7637 0.0417
F 0.8050 0.1959 0.1800
F 0.8051 0.1960 0.8196
F 0.2379 0.2363 0.9583
F 0.1950 0.8041 0.8200
F 0.6760 0.6776 0.5064
F 0.3240 0.3224 0.4936

---

No. 6
Compound: La2TbDySe4
Source: Alexandria via LeMat-Bulk
Functional: PBE
Structure: optimized geometry

Values from the calculation:
Crystal system   monoclinic
Symmetry   P2/m, No. 10
Energy relative to the elements, uncorrected   -1.886 eV/atom

a b c (Å): 4.1373 7.2166 7.4007
angles (deg): 108.76 90.00 90.00
Fractional coordinates of all 8 atoms:
La 0.5000 0.0000 0.5000
La 0.0000 0.5000 0.5000
Tb 0.0000 0.0000 0.0000
Dy 0.5000 0.5000 0.0000
Se 0.5000 0.2447 0.2319
Se 0.5000 0.7553 0.7681
Se 0.0000 0.2574 0.7688
Se 0.0000 0.7426 0.2312

---

No. 7
Compound: Ca2ScOs
Source: Alexandria via LeMat-Bulk
Functional: PBE
Structure: optimized geometry

Values from the calculation:
Crystal system   monoclinic
Symmetry   P2/m, No. 10
Polymorph energy (0 for the lowest one)   459.6 meV per atom
ΔE_f   0.481 eV per atom

a b c (Å): 4.9130 3.3907 5.9161
angles (deg): 72.75 90.00 90.00
Each line ends with the local moment (μB).
Fractional coordinates of all 4 atoms:
Sc 0.5000 0.7500 0.7500  0.05
Ca 0.0000 0.0658 0.0272  0.01
Ca 0.0000 0.4342 0.4728  0.01
Os 0.5000 0.2500 0.2500  -0.01

---

No. 8
Compound: SrTaMo
Source: Alexandria via LeMat-Bulk
Functional: PBE
Structure: optimized geometry

Values from the calculation:
Crystal system   orthorhombic
Symmetry   Fmm2, No. 42
Polymorph energy (0 for the lowest one)   242.4 meV per atom
ΔE_f   0.754 eV per atom

a b c (Å): 8.0710 7.8292 3.1146
angles (deg): 83.10 74.37 22.53
Fractional coordinates of all 3 atoms:
Mo 0.9808 0.9808 0.0192
Sr 0.6614 0.6614 0.3386
Ta 0.3578 0.3578 0.6422

---

No. 9
Compound: TaCd3I
Source: Alexandria via LeMat-Bulk
Functional: PBE
Structure: optimized geometry

Values from the calculation:
Crystal system   cubic
Symmetry   Pm-3m, No. 221
Energy relative to the elements, uncorrected   1.696 eV/atom
Polymorph energy (0 for the lowest one)   755.9 meV per atom

a b c (Å): 5.6772 5.6772 5.6772
angles (deg): 90.00 90.00 90.00
Each line ends with the local moment (μB).
Fractional coordinates of all 5 atoms:
I 0.0000 0.0000 0.0000  0.07
Cd 0.0000 0.5000 0.0000  0.02
Cd 0.0000 0.0000 0.5000  -0.01
Cd 0.5000 0.0000 0.0000  0.04
Ta 0.5000 0.5000 0.5000  2.23

---

No. 10
Compound: Zr2TaOs
Source: Alexandria via LeMat-Bulk
Functional: PBE
Structure: optimized geometry

Values from the calculation:
Crystal system   trigonal
Symmetry   R3m, No. 160
Polymorph energy (0 for the lowest one)   307.0 meV per atom
ΔE_f   0.083 eV per atom

a b c (Å): 9.5042 9.5042 9.5042
angles (deg): 18.94 18.94 18.94
Fractional coordinates of all 4 atoms:
Os 0.4955 0.4955 0.4955
Ta 0.7597 0.7597 0.7597
Zr 0.0040 0.0040 0.0040
Zr 0.2408 0.2408 0.2408

---

No. 11
Compound: TaTlSe
Source: Alexandria via LeMat-Bulk
Functional: PBE
Structure: optimized geometry

Values from the calculation:
Crystal system   cubic
Symmetry   F-43m, No. 216
Energy relative to the elements, uncorrected   0.830 eV/atom
Polymorph energy (0 for the lowest one)   947.0 meV per atom

a b c (Å): 4.6230 4.6230 4.6230
angles (deg): 60.00 60.00 60.00
Fractional coordinates of all 3 atoms:
Se 0.7500 0.7500 0.7500
Ta 0.0000 0.0000 0.0000
Tl 0.5000 0.5000 0.5000

---

No. 12
Compound: Sc2CdI
Source: Alexandria via LeMat-Bulk
Functional: PBE
Structure: optimized geometry

Values from the calculation:
Crystal system   tetragonal
Symmetry   I-42d, No. 122
Energy relative to the elements, uncorrected   0.136 eV/atom
Polymorph energy (0 for the lowest one)   252.5 meV per atom

a b c (Å): 4.6781 4.6781 10.8944
angles (deg): 77.60 77.60 90.00
Fractional coordinates of all 8 atoms:
I 0.0000 0.0000 0.0000
I 0.7500 0.2500 0.5000
Sc 0.6279 0.1250 0.2500
Sc 0.1221 0.6250 0.2500
Sc 0.3750 0.3721 0.7500
Sc 0.8750 0.8779 0.7500
Cd 0.5000 0.5000 0.0000
Cd 0.2500 0.7500 0.5000